Zr2FeWF | GGA+U | relaxed

Geometry as POSCAR:
```
Zr2FeWF
1.0
5.331 0.000 0.000
0.000 4.043 0.000
0.000 0.000 5.331
Zr Fe W F
2 1 1 1
Direct
0.500 0.000 0.000
0.000 0.000 0.500
0.500 0.500 0.500
0.000 0.000 0.000
0.000 0.500 0.000
```

## Properties
* symmetry: P4/mmm, No. 123
* energy: -5.511 eV/atom
* Fermi-level density of states: 1.62 states/eV/atom